1.
The following is a PBE calculation of ZrTcAsO after structural relaxation, from OQMD via LeMat-Bulk.

Unit cell a=4.253 b=4.725 c=6.136 alpha=90.00 beta=90.00 gamma=90.00
Fractional coordinates of all 8 atoms:
1 As 0.000 0.130 0.796
2 O 0.500 0.579 0.910
3 Zr 0.500 0.779 0.607
4 Tc 0.000 0.630 0.941
5 Tc 0.000 0.370 0.441
6 O 0.500 0.421 0.410
7 Zr 0.500 0.221 0.107
8 As 0.000 0.870 0.296

Results
symmetry = Pmc2_1, No. 26
magnetic moment = 0.0 μB/cell



2.
The following is a PBE calculation of ZrTcAsO after structural relaxation, from OQMD via LeMat-Bulk.

Unit cell a=4.168 b=5.632 c=5.497 alpha=90.00 beta=90.00 gamma=90.00
Site moments in Bohr magnetons follow the coordinates.
Fractional coordinates of all 8 atoms:
1 O 0.500 0.204 0.376  0.00
2 Tc 0.500 0.501 0.625  0.05
3 Zr 0.000 0.781 0.876  0.00
4 As 0.000 0.281 0.876  0.00
5 O 0.500 0.796 0.876  0.00
6 Zr 0.000 0.219 0.376  0.00
7 Tc 0.500 0.499 0.125  0.06
8 As 0.000 0.719 0.376  0.00

Results
symmetry = Pmma, No. 51
magnetic moment = 0.1 μB/cell



Least stable = 1



1.
The following is a PBE calculation of ZrTcAsO after structural relaxation, from OQMD via LeMat-Bulk.

Unit cell a=4.096 b=4.096 c=7.029 alpha=90.00 beta=90.00 gamma=90.00
Fractional coordinates of all 8 atoms:
1 Zr 0.500 0.000 0.130
2 Zr 0.000 0.500 0.870
3 O 0.500 0.500 0.000
4 As 0.000 0.500 0.308
5 Tc 0.500 0.500 0.500
6 As 0.500 0.000 0.692
7 O 0.000 0.000 0.000
8 Tc 0.000 0.000 0.500

Results
symmetry = P4/nmm, No. 129
magnetic moment = 0.0 μB/cell



2.
The following is a PBE calculation of ZrTcAsO after structural relaxation, from OQMD via LeMat-Bulk.

Unit cell a=4.179 b=4.179 c=6.765 alpha=90.00 beta=90.00 gamma=90.00
Fractional coordinates of all 8 atoms:
1 As 0.000 0.500 0.229
2 O 0.000 0.000 0.000
3 Zr 0.500 0.500 0.500
4 Zr 0.000 0.000 0.500
5 Tc 0.000 0.500 0.861
6 As 0.500 0.000 0.771
7 O 0.500 0.500 0.000
8 Tc 0.500 0.000 0.139

Results
symmetry = P4/nmm, No. 129
magnetic moment = 0.1 μB/cell



Least stable = 2



1.
The following is a PBE calculation of TmTeAsO after structural relaxation, from OQMD via LeMat-Bulk.

Unit cell a=5.481 b=7.219 c=5.934 alpha=90.00 beta=90.00 gamma=90.00
Fractional coordinates of all 8 atoms:
1 Te 0.000 0.824 0.004
2 As 0.000 0.814 0.505
3 Tm 0.500 0.678 0.481
4 Te 0.000 0.176 0.504
5 O 0.500 0.468 0.264
6 As 0.000 0.186 0.005
7 O 0.500 0.532 0.764
8 Tm 0.500 0.322 0.981

Results
symmetry = Pmc2_1, No. 26
magnetic moment = 0.0 μB/cell



2.
The following is a PBE calculation of TmTeAsO after structural relaxation, from OQMD via LeMat-Bulk.

Unit cell a=4.042 b=4.042 c=10.516 alpha=90.00 beta=90.00 gamma=90.00
Fractional coordinates of all 8 atoms:
1 Te 0.000 0.500 0.500
2 As 0.000 0.000 0.266
3 Te 0.500 0.000 0.500
4 O 0.500 0.000 0.000
5 Tm 0.500 0.500 0.093
6 Tm 0.000 0.000 0.907
7 O 0.000 0.500 0.000
8 As 0.500 0.500 0.734

Results
symmetry = P4/nmm, No. 129
magnetic moment = 0.0 μB/cell



Least stable = 2



1.
The following is a PBE calculation of ZnTeAsO after structural relaxation, from OQMD via LeMat-Bulk.

Unit cell a=3.941 b=3.941 c=9.060 alpha=90.00 beta=90.00 gamma=90.00
Fractional coordinates of all 8 atoms:
1 Zn 0.250 0.750 0.500
2 Zn 0.750 0.250 0.500
3 O 0.750 0.250 0.000
4 O 0.250 0.750 0.000
5 Te 0.750 0.750 0.862
6 As 0.250 0.250 0.687
7 As 0.750 0.750 0.313
8 Te 0.250 0.250 0.138

Results
symmetry = P4/nmm, No. 129



2.
The following is a PBE calculation of ZnTeAsO after structural relaxation, from OQMD via LeMat-Bulk.

Unit cell a=4.492 b=6.004 c=5.890 alpha=90.00 beta=90.00 gamma=90.00
Fractional coordinates of all 8 atoms:
1 O 0.500 0.330 0.384
2 As 0.000 0.215 0.916
3 Zn 0.500 0.641 0.532
4 Te 0.000 0.753 0.922
5 Te 0.000 0.247 0.422
6 O 0.500 0.670 0.884
7 Zn 0.500 0.359 0.032
8 As 0.000 0.785 0.416

Results
symmetry = Pmc2_1, No. 26



3.
The following is a PBE calculation of ZnTeAsO after structural relaxation, from OQMD via LeMat-Bulk.

Unit cell a=3.536 b=7.517 c=6.069 alpha=90.00 beta=90.00 gamma=90.00
Fractional coordinates of all 8 atoms:
1 Zn 0.000 0.162 0.471
2 As 0.000 0.832 0.377
3 Te 0.500 0.610 0.562
4 As 0.000 0.168 0.877
5 O 0.500 0.767 0.843
6 O 0.500 0.233 0.343
7 Zn 0.000 0.838 0.971
8 Te 0.500 0.390 0.062

Results
symmetry = Pmc2_1, No. 26



4.
The following is a PBE calculation of ZnTeAsO after structural relaxation, from OQMD via LeMat-Bulk.

Unit cell a=4.167 b=4.167 c=10.174 alpha=90.00 beta=90.00 gamma=90.00
Fractional coordinates of all 8 atoms:
1 O 0.000 0.000 0.000
2 As 0.000 0.500 0.278
3 As 0.500 0.000 0.722
4 Zn 0.500 0.000 0.974
5 Te 0.000 0.000 0.500
6 Te 0.500 0.500 0.500
7 O 0.500 0.500 0.000
8 Zn 0.000 0.500 0.026

Results
symmetry = P4/nmm, No. 129



Least stable = 4



1.
The following is a PBE calculation of ZrTeAsO after structural relaxation, from OQMD via LeMat-Bulk.

Unit cell a=3.465 b=8.675 c=6.454 alpha=90.00 beta=90.00 gamma=90.00
Fractional coordinates of all 8 atoms:
1 O 0.500 0.835 0.502
2 Te 0.500 0.242 0.522
3 Te 0.500 0.758 0.022
4 Zr 0.000 0.735 0.428
5 Zr 0.000 0.265 0.928
6 As 0.000 0.427 0.302
7 As 0.000 0.573 0.802
8 O 0.500 0.165 0.002

Results
symmetry = Pmc2_1, No. 26
magnetic moment = 0.0 μB/cell



2.
The following is a PBE calculation of ZrTeAsO after structural relaxation, from OQMD via LeMat-Bulk.

Unit cell a=5.132 b=5.132 c=5.408 alpha=90.00 beta=90.00 gamma=90.00
Fractional coordinates of all 8 atoms:
1 Te 0.750 0.750 0.838
2 As 0.250 0.250 0.681
3 Zr 0.250 0.750 0.500
4 O 0.250 0.750 0.000
5 O 0.750 0.250 0.000
6 As 0.750 0.750 0.319
7 Zr 0.750 0.250 0.500
8 Te 0.250 0.250 0.162

Results
symmetry = P4/nmm, No. 129
magnetic moment = 0.0 μB/cell



3.
The following is a PBE calculation of ZrTeAsO after structural relaxation, from OQMD via LeMat-Bulk.

Unit cell a=3.919 b=3.919 c=10.447 alpha=90.00 beta=90.00 gamma=90.00
Fractional coordinates of all 8 atoms:
1 Zr 0.000 0.000 0.897
2 Te 0.000 0.500 0.500
3 O 0.000 0.500 0.000
4 As 0.000 0.000 0.235
5 As 0.500 0.500 0.765
6 Zr 0.500 0.500 0.103
7 O 0.500 0.000 0.000
8 Te 0.500 0.000 0.500

Results
symmetry = P4/nmm, No. 129
magnetic moment = 0.0 μB/cell



4.
The following is a PBE calculation of ZrTeAsO after structural relaxation, from OQMD via LeMat-Bulk.

Unit cell a=4.397 b=8.229 c=5.789 alpha=90.00 beta=90.00 gamma=90.00
Fractional coordinates of all 8 atoms:
1 Zr 0.500 0.843 0.907
2 As 0.000 0.670 0.053
3 O 0.500 0.033 0.696
4 O 0.500 0.967 0.196
5 Te 0.000 0.690 0.598
6 As 0.000 0.330 0.553
7 Te 0.000 0.310 0.098
8 Zr 0.500 0.157 0.407

Results
symmetry = Pmc2_1, No. 26
magnetic moment = 0.0 μB/cell



Least stable = 2



1.
The following is a PBE calculation of YZrAsO after structural relaxation, from OQMD via LeMat-Bulk.

Unit cell a=4.132 b=7.611 c=5.131 alpha=90.00 beta=90.00 gamma=90.00
Fractional coordinates of all 8 atoms:
1 Y 0.500 0.859 0.939
2 Y 0.500 0.141 0.439
3 Zr 0.000 0.246 0.939
4 Zr 0.000 0.754 0.439
5 As 0.000 0.388 0.438
6 As 0.000 0.612 0.938
7 O 0.500 0.837 0.438
8 O 0.500 0.163 0.938

Results
symmetry = Pmma, No. 51
magnetic moment = 0.0 μB/cell



2.
The following is a PBE calculation of YZrAsO after structural relaxation, from OQMD via LeMat-Bulk.

Unit cell a=4.175 b=4.175 c=8.795 alpha=90.00 beta=90.00 gamma=90.00
Fractional coordinates of all 8 atoms:
1 Zr 0.250 0.750 0.500
2 Y 0.250 0.250 0.113
3 O 0.750 0.250 0.000
4 Zr 0.750 0.250 0.500
5 As 0.750 0.750 0.301
6 As 0.250 0.250 0.699
7 O 0.250 0.750 0.000
8 Y 0.750 0.750 0.887

Results
symmetry = P4/nmm, No. 129
magnetic moment = 0.0 μB/cell



Least stable = 1



1.
The following is a PBE calculation of YZrAsO after structural relaxation, from OQMD via LeMat-Bulk.

Unit cell a=4.117 b=4.117 c=8.434 alpha=90.00 beta=90.00 gamma=90.00
Site moments in Bohr magnetons follow the coordinates.
Fractional coordinates of all 8 atoms:
1 O 0.500 0.500 0.000  0.00
2 Zr 0.000 0.500 0.886  0.01
3 Y 0.000 0.000 0.500  0.07
4 As 0.000 0.500 0.263  0.00
5 As 0.500 0.000 0.737  0.00
6 Y 0.500 0.500 0.500  0.07
7 O 0.000 0.000 0.000  0.00
8 Zr 0.500 0.000 0.114  0.01

Results
symmetry = P4/nmm, No. 129
magnetic moment = 0.2 μB/cell



2.
The following is a PBE calculation of YZrAsO after structural relaxation, from OQMD via LeMat-Bulk.

Unit cell a=3.981 b=7.527 c=5.783 alpha=90.00 beta=90.00 gamma=90.00
Fractional coordinates of all 8 atoms:
1 Y 0.000 0.276 0.950
2 Zr 0.500 0.891 0.994
3 As 0.000 0.656 0.946
4 Zr 0.500 0.109 0.494
5 As 0.000 0.344 0.446
6 Y 0.000 0.724 0.450
7 O 0.500 0.842 0.364
8 O 0.500 0.158 0.864

Results
symmetry = Pmc2_1, No. 26
magnetic moment = 0.0 μB/cell



Least stable = 1



1.
The following is a PBE calculation of ZnAs2O after structural relaxation, from OQMD via LeMat-Bulk.

Unit cell a=4.311 b=4.311 c=8.223 alpha=90.00 beta=90.00 gamma=90.00
Fractional coordinates of all 8 atoms:
1 Zn 0.500 0.000 0.006
2 As 0.500 0.500 0.500
3 O 0.500 0.500 0.000
4 As 0.000 0.500 0.659
5 As 0.000 0.000 0.500
6 Zn 0.000 0.500 0.994
7 O 0.000 0.000 0.000
8 As 0.500 0.000 0.341

Results
symmetry = P4/nmm, No. 129



2.
The following is a PBE calculation of ZnAs2O after structural relaxation, from OQMD via LeMat-Bulk.

Unit cell a=3.786 b=3.786 c=8.726 alpha=90.00 beta=90.00 gamma=90.00
Fractional coordinates of all 8 atoms:
1 As 0.250 0.250 0.122
2 O 0.250 0.750 0.000
3 As 0.750 0.750 0.878
4 Zn 0.750 0.250 0.500
5 Zn 0.250 0.750 0.500
6 O 0.750 0.250 0.000
7 As 0.750 0.750 0.305
8 As 0.250 0.250 0.695

Results
symmetry = P4/nmm, No. 129



Least stable = 2



1.
The following is a PBE calculation of ZnAs2O after structural relaxation, from OQMD via LeMat-Bulk.

Unit cell a=4.312 b=4.312 c=8.238 alpha=90.00 beta=90.00 gamma=90.00
Fractional coordinates of all 8 atoms:
1 As 0.250 0.250 0.659
2 Zn 0.750 0.750 0.007
3 As 0.250 0.750 0.500
4 As 0.750 0.750 0.341
5 As 0.750 0.250 0.500
6 O 0.250 0.750 0.000
7 O 0.750 0.250 0.000
8 Zn 0.250 0.250 0.993

Results
symmetry = P4/nmm, No. 129



2.
The following is a PBE calculation of ZnAs2O after structural relaxation, from OQMD via LeMat-Bulk.

Unit cell a=3.503 b=7.303 c=6.073 alpha=90.00 beta=90.00 gamma=90.00
Fractional coordinates of all 8 atoms:
1 Zn 0.500 0.663 0.474
2 O 0.000 0.259 0.836
3 As 0.500 0.328 0.380
4 Zn 0.500 0.337 0.974
5 As 0.000 0.853 0.063
6 As 0.000 0.147 0.563
7 O 0.000 0.741 0.336
8 As 0.500 0.672 0.880

Results
symmetry = Pmc2_1, No. 26



Least stable = 1



1.
The following is a PBE calculation of Zn2As2O5 after structural relaxation, from OQMD via LeMat-Bulk.

Unit cell a=8.241 b=3.545 c=3.545 alpha=90.00 beta=90.00 gamma=90.00
Fractional coordinates of all 9 atoms:
1 O 0.500 0.500 0.500
2 O 0.857 0.000 0.500
3 As 0.000 0.000 0.000
4 O 0.857 0.500 0.000
5 O 0.143 0.500 0.000
6 O 0.143 0.000 0.500
7 Zn 0.254 0.500 0.500
8 Zn 0.746 0.500 0.500
9 As 0.500 0.000 0.000

Results
symmetry = P4/mmm, No. 123



2.
The following is a PBE calculation of Zn2As2O5 after structural relaxation, from OQMD via LeMat-Bulk.

Unit cell a=6.525 b=3.943 c=3.943 alpha=90.00 beta=90.00 gamma=90.00
Fractional coordinates of all 9 atoms:
1 As 0.783 0.500 0.500
2 O 0.789 0.000 0.500
3 O 0.500 0.500 0.500
4 Zn 0.500 0.000 0.000
5 O 0.211 0.500 0.000
6 Zn 0.000 0.000 0.000
7 O 0.211 0.000 0.500
8 As 0.217 0.500 0.500
9 O 0.789 0.500 0.000

Results
symmetry = P4/mmm, No. 123



Least stable = 1